Computed, not measured: Zn2Ni3O8 at its PBEsol-relaxed geometry at the SCAN level of DFT.

formation energy from raw total energies = -1.207 eV/atom
symmetry = C2/m

abc: 4.8188 5.5970 5.5601
angles: 120.22 102.02 90.00
Last column: nearest neighbours and their distance in Å.
Positions (direct):
Zn (0.6165, 0.7078, 0.4157)  5 O 1.94-2.12
Zn (0.3835, 0.2922, 0.5843)  5 O 1.94-2.12
Ni (0.5000, 0.0000, 0.0000)  6 O 1.86-1.87
Ni (0.0000, 0.2511, 0.0000)  6 O 1.84-1.87
Ni (0.0000, 0.7489, 0.0000)  6 O 1.84-1.87
O (0.0756, 0.3900, 0.7800)  2 Ni 1.84, 1 Zn 1.94
O (0.9244, 0.6100, 0.2200)  2 Ni 1.84, 1 Zn 1.94
O (0.1180, 0.8987, 0.7974)  3 Ni 1.86-1.87
O (0.8820, 0.1013, 0.2026)  3 Ni 1.86-1.87
O (0.3719, 0.8880, 0.2273)  2 Ni 1.87, 1 Zn 2.01
O (0.3719, 0.3392, 0.2273)  2 Ni 1.87, 1 Zn 2.01
O (0.6281, 0.6608, 0.7727)  2 Ni 1.87, 1 Zn 2.01
O (0.6281, 0.1120, 0.7727)  2 Ni 1.87, 1 Zn 2.01